Record 1
# Ac3Ge2Pt4Pb2 | the Alexandria database | PBE-GGA | relaxed
data_Ac3Ge2Pt4Pb2
_cell_length_a 4.6995
_cell_length_b 4.6995
_cell_length_c 14.6360
_cell_angle_alpha 90.00
_cell_angle_beta 90.00
_cell_angle_gamma 120.00
_space_group_name_H-M_alt 'P 1'
_space_group_IT_number 1
loop_
_space_group_symop_operation_xyz
'x,y,z'
loop_
_atom_site_label
_atom_site_type_symbol
_atom_site_fract_x
_atom_site_fract_y
_atom_site_fract_z
Ac1 Ac 0.0000 0.0000 0.7333
Ac2 Ac 0.0000 0.0000 0.0000
Ac3 Ac 0.0000 0.0000 0.2667
Ge1 Ge 0.6667 0.3333 0.8495
Ge2 Ge 0.3333 0.6667 0.1505
Pt1 Pt 0.6667 0.3333 0.1311
Pt2 Pt 0.3333 0.6667 0.8689
Pt3 Pt 0.6667 0.3333 0.6360
Pt4 Pt 0.3333 0.6667 0.3640
Pb1 Pb 0.6667 0.3333 0.4383
Pb2 Pb 0.3333 0.6667 0.5617
# volume	279.9	Å³ per cell
# final energy	-62.24	eV/cell
# formation enthalpy at 0 K	-0.8272	eV/atom

***

Record 2
# PbAuCl3 | the Alexandria database | PBE-GGA | relaxed
data_PbAuCl3
_cell_length_a 5.1382
_cell_length_b 5.1382
_cell_length_c 5.1382
_cell_angle_alpha 90.00
_cell_angle_beta 90.00
_cell_angle_gamma 90.00
_space_group_name_H-M_alt 'P 1'
_space_group_IT_number 1
loop_
_space_group_symop_operation_xyz
'x,y,z'
loop_
_atom_site_label
_atom_site_type_symbol
_atom_site_fract_x
_atom_site_fract_y
_atom_site_fract_z
Pb1 Pb 0.5000 0.5000 0.5000
Au1 Au 0.0000 0.0000 0.0000
Cl1 Cl 0.0000 0.5000 0.0000
Cl2 Cl 0.0000 0.0000 0.5000
Cl3 Cl 0.5000 0.0000 0.0000
# volume	135.7	Å³ per cell
# final energy	-13.96	eV/cell
# distance to the lowest polymorph of the same formula	464	meV per atom
# formation energy (no corrections)	-287	meV/atom

***

Record 3
# CoMo3 | the Alexandria database | PBE-GGA | relaxed
data_CoMo3
_cell_length_a 4.3766
_cell_length_b 4.9437
_cell_length_c 5.4081
_cell_angle_alpha 90.00
_cell_angle_beta 90.00
_cell_angle_gamma 90.00
_space_group_name_H-M_alt 'P 1'
_space_group_IT_number 1
loop_
_space_group_symop_operation_xyz
'x,y,z'
loop_
_atom_site_label
_atom_site_type_symbol
_atom_site_fract_x
_atom_site_fract_y
_atom_site_fract_z
Co1 Co 0.0000 0.3299 0.0000
Co2 Co 0.5000 0.6701 0.5000
Mo1 Mo 0.5000 0.6223 0.0000
Mo2 Mo 0.0000 0.8485 0.2376
Mo3 Mo 0.5000 0.1515 0.2624
Mo4 Mo 0.0000 0.3777 0.5000
Mo5 Mo 0.0000 0.8485 0.7624
Mo6 Mo 0.5000 0.1515 0.7376
# volume	117.0	Å³ per cell
# final energy	-77.37	eV/cell
# formation enthalpy at 0 K	0.2282	eV/atom

***

Record 4
# ZnCo3Ru | the Alexandria database | PBE-GGA | relaxed
data_ZnCo3Ru
_cell_length_a 4.2407
_cell_length_b 4.2407
_cell_length_c 4.2407
_cell_angle_alpha 90.00
_cell_angle_beta 90.00
_cell_angle_gamma 90.00
_space_group_name_H-M_alt 'P 1'
_space_group_IT_number 1
loop_
_space_group_symop_operation_xyz
'x,y,z'
loop_
_atom_site_label
_atom_site_type_symbol
_atom_site_fract_x
_atom_site_fract_y
_atom_site_fract_z
Ru1 Ru 0.5000 0.5000 0.5000
Zn1 Zn 0.0000 0.0000 0.0000
Co1 Co 0.0000 0.5000 0.0000
Co2 Co 0.0000 0.0000 0.5000
Co3 Co 0.5000 0.0000 0.0000
# volume	76.3	Å³ per cell
# final energy	-24.97	eV/cell
# formation enthalpy at 0 K	1.3802	eV/atom
# distance to the lowest polymorph of the same formula	0	meV per atom

***

Record 5
# BaRuN2 | the Alexandria database | PBE-GGA | relaxed
data_BaRuN2
_cell_length_a 6.8740
_cell_length_b 6.8740
_cell_length_c 6.8740
_cell_angle_alpha 34.55
_cell_angle_beta 34.55
_cell_angle_gamma 34.55
_space_group_name_H-M_alt 'P 1'
_space_group_IT_number 1
loop_
_space_group_symop_operation_xyz
'x,y,z'
loop_
_atom_site_label
_atom_site_type_symbol
_atom_site_fract_x
_atom_site_fract_y
_atom_site_fract_z
Ru1 Ru 0.0000 0.0000 0.0000
Ba1 Ba 0.5000 0.5000 0.5000
N1 N 0.9080 0.9080 0.9080
N2 N 0.0920 0.0920 0.0920
# volume	93.2	Å³ per cell
# final energy	-26.15	eV/cell
# distance to the lowest polymorph of the same formula	627	meV per atom
# formation energy (no corrections)	425	meV/atom

***

Record 6
# NaDyCdPb | the Alexandria database | PBE-GGA | relaxed
data_NaDyCdPb
_cell_length_a 4.0482
_cell_length_b 4.9926
_cell_length_c 5.2756
_cell_angle_alpha 90.00
_cell_angle_beta 90.00
_cell_angle_gamma 90.00
_space_group_name_H-M_alt 'P 1'
_space_group_IT_number 1
loop_
_space_group_symop_operation_xyz
'x,y,z'
loop_
_atom_site_label
_atom_site_type_symbol
_atom_site_fract_x
_atom_site_fract_y
_atom_site_fract_z
Na1 Na 0.5000 0.5000 0.0000
Dy1 Dy 0.5000 0.0000 0.5000
Cd1 Cd 0.0000 0.0000 0.0000
Pb1 Pb 0.0000 0.5000 0.5000
# volume	106.6	Å³ per cell
# final energy	-11.66	eV/cell
# formation enthalpy at 0 K	-0.2798	eV/atom
# distance to the lowest polymorph of the same formula	0	meV per atom

***

Record 7
# Li3SbH2 | the Alexandria database | PBE-GGA | relaxed
data_Li3SbH2
_cell_length_a 2.9339
_cell_length_b 6.5591
_cell_length_c 9.8265
_cell_angle_alpha 78.14
_cell_angle_beta 98.59
_cell_angle_gamma 90.00
_space_group_name_H-M_alt 'P 1'
_space_group_IT_number 1
loop_
_space_group_symop_operation_xyz
'x,y,z'
loop_
_atom_site_label
_atom_site_type_symbol
_atom_site_fract_x
_atom_site_fract_y
_atom_site_fract_z
Li1 Li 0.2660 0.3280 0.5319
Li2 Li 0.0007 0.7069 0.0013
Li3 Li 0.3802 0.5899 0.7604
Li4 Li 0.7340 0.6720 0.4681
Li5 Li 0.6198 0.4101 0.2396
Li6 Li 0.9993 0.2931 0.9987
Sb1 Sb 0.4035 0.0572 0.8071
Sb2 Sb 0.5965 0.9428 0.1929
H1 H 0.2874 0.6042 0.5747
H2 H 0.7126 0.3958 0.4253
H3 H 0.9342 0.5421 0.8683
H4 H 0.0658 0.4579 0.1317
# volume	182.9	Å³ per cell
# final energy	-36.83	eV/cell

***

Record 8
# Sr2Mg12Pt7 | the Alexandria database | PBE-GGA | relaxed
data_Sr2Mg12Pt7
_cell_length_a 4.1791
_cell_length_b 10.8857
_cell_length_c 10.8857
_cell_angle_alpha 120.00
_cell_angle_beta 90.00
_cell_angle_gamma 90.00
_space_group_name_H-M_alt 'P 1'
_space_group_IT_number 1
loop_
_space_group_symop_operation_xyz
'x,y,z'
loop_
_atom_site_label
_atom_site_type_symbol
_atom_site_fract_x
_atom_site_fract_y
_atom_site_fract_z
Sr1 Sr 0.5000 0.0000 0.0000
Sr2 Sr 0.0000 0.6667 0.3333
Mg1 Mg 0.5000 0.9027 0.6216
Mg2 Mg 0.5000 0.7188 0.0973
Mg3 Mg 0.5000 0.3784 0.2812
Mg4 Mg 0.5000 0.2409 0.7908
Mg5 Mg 0.5000 0.5499 0.7591
Mg6 Mg 0.5000 0.2092 0.4501
Mg7 Mg 0.0000 0.0564 0.5451
Mg8 Mg 0.0000 0.4887 0.9436
Mg9 Mg 0.0000 0.4549 0.5113
Mg10 Mg 0.0000 0.7680 0.7208
Mg11 Mg 0.0000 0.9529 0.2320
Mg12 Mg 0.0000 0.2792 0.0471
Pt1 Pt 0.0000 0.3333 0.6667
Pt2 Pt 0.0000 0.0484 0.7864
Pt3 Pt 0.0000 0.7380 0.9516
Pt4 Pt 0.0000 0.2136 0.2620
Pt5 Pt 0.5000 0.6232 0.5464
Pt6 Pt 0.5000 0.9232 0.3768
Pt7 Pt 0.5000 0.4536 0.0768
# volume	428.9	Å³ per cell
# final energy	-80.30	eV/cell
# formation enthalpy at 0 K	-0.7390	eV/atom

***

Record 9
# NiGeSb2I | the Alexandria database | PBE-GGA | relaxed
data_NiGeSb2I
_cell_length_a 4.9366
_cell_length_b 4.9366
_cell_length_c 5.4498
_cell_angle_alpha 90.00
_cell_angle_beta 90.00
_cell_angle_gamma 90.00
_space_group_name_H-M_alt 'P 1'
_space_group_IT_number 1
loop_
_space_group_symop_operation_xyz
'x,y,z'
loop_
_atom_site_label
_atom_site_type_symbol
_atom_site_fract_x
_atom_site_fract_y
_atom_site_fract_z
I1 I 0.0000 0.0000 0.5000
Sb1 Sb 0.0000 0.5000 0.0000
Sb2 Sb 0.5000 0.0000 0.0000
Ge1 Ge 0.5000 0.5000 0.5000
Ni1 Ni 0.0000 0.0000 0.0000
# volume	132.8	Å³ per cell
# final energy	-17.77	eV/cell
# distance to the lowest polymorph of the same formula	0	meV per atom
# formation energy (no corrections)	484	meV/atom

***

Record 10
# RbMoPd2 | the Alexandria database | PBE-GGA | relaxed
data_RbMoPd2
_cell_length_a 4.8866
_cell_length_b 4.8866
_cell_length_c 4.8866
_cell_angle_alpha 60.00
_cell_angle_beta 60.00
_cell_angle_gamma 60.00
_space_group_name_H-M_alt 'P 1'
_space_group_IT_number 1
loop_
_space_group_symop_operation_xyz
'x,y,z'
loop_
_atom_site_label
_atom_site_type_symbol
_atom_site_fract_x
_atom_site_fract_y
_atom_site_fract_z
Mo1 Mo 0.5000 0.5000 0.5000
Rb1 Rb 0.0000 0.0000 0.0000
Pd1 Pd 0.2500 0.2500 0.2500
Pd2 Pd 0.7500 0.7500 0.7500
# volume	82.5	Å³ per cell
# final energy	-18.04	eV/cell
# formation enthalpy at 0 K	1.0352	eV/atom
# distance to the lowest polymorph of the same formula	82	meV per atom

***

Record 11
# Tb2Pm5Sc | the Alexandria database | PBE-GGA | relaxed
data_Tb2Pm5Sc
_cell_length_a 9.1234
_cell_length_b 9.1234
_cell_length_c 8.9997
_cell_angle_alpha 120.46
_cell_angle_beta 120.46
_cell_angle_gamma 90.00
_space_group_name_H-M_alt 'P 1'
_space_group_IT_number 1
loop_
_space_group_symop_operation_xyz
'x,y,z'
loop_
_atom_site_label
_atom_site_type_symbol
_atom_site_fract_x
_atom_site_fract_y
_atom_site_fract_z
Tb1 Tb 0.1437 0.3563 0.0000
Tb2 Tb 0.6437 0.1437 0.0000
Tb3 Tb 0.3563 0.8563 0.0000
Tb4 Tb 0.8563 0.6437 0.0000
Pm1 Pm 0.4864 0.6826 0.6690
Pm2 Pm 0.8174 0.0136 0.3310
Pm3 Pm 0.0000 0.0000 0.0000
Pm4 Pm 0.5000 0.5000 0.0000
Pm5 Pm 0.1826 0.9864 0.6690
Pm6 Pm 0.6826 0.1826 0.6690
Pm7 Pm 0.9864 0.4864 0.6690
Pm8 Pm 0.3174 0.8174 0.3310
Pm9 Pm 0.0136 0.5136 0.3310
Pm10 Pm 0.5136 0.3174 0.3310
Sc1 Sc 0.7500 0.7500 0.5000
Sc2 Sc 0.2500 0.2500 0.5000
# volume	522.3	Å³ per cell
# final energy	-76.87	eV/cell
# formation enthalpy at 0 K	0.1139	eV/atom
# distance to the lowest polymorph of the same formula	78	meV per atom

***

Record 12
# Ba2TiCrPd | the Alexandria database | PBE-GGA | relaxed
data_Ba2TiCrPd
_cell_length_a 6.2454
_cell_length_b 4.9191
_cell_length_c 6.2454
_cell_angle_alpha 90.00
_cell_angle_beta 90.00
_cell_angle_gamma 90.00
_space_group_name_H-M_alt 'P 1'
_space_group_IT_number 1
loop_
_space_group_symop_operation_xyz
'x,y,z'
loop_
_atom_site_label
_atom_site_type_symbol
_atom_site_fract_x
_atom_site_fract_y
_atom_site_fract_z
Cr1 Cr 0.5000 0.5000 0.5000
Ba1 Ba 0.0000 0.0000 0.5000
Ba2 Ba 0.5000 0.0000 0.0000
Pd1 Pd 0.0000 0.0000 0.0000
Ti1 Ti 0.0000 0.5000 0.0000
# volume	191.9	Å³ per cell
# final energy	-23.66	eV/cell
# formation enthalpy at 0 K	0.5800	eV/atom